VASP calculation (PBE) on a relaxed structure of TlOsF2.

Properties
Formation energy without anion corrections (kJ/mol of formula units): -284
Energy above the lowest structure with this stoichiometry (meV per atom): 0
M_tot (μB per atom): 0.2192

Cell lengths 2.9218, 2.9218, 24.9445 Å; angles 90.00, 90.00, 120.00 degrees
With the nearest neighbours (Å) after each atom.
Space group R-3m (No. 166, hexagonal axes)
Symmetry-distinct sites (fractional):
Tl1 0.0000 0.0000 0.0000  6 F 2.75, 6 Tl 2.92
Os1 0.0000 0.0000 0.5000  2 F 1.99
F1 0.0000 0.0000 0.4202  1 Os 1.99